Below is a relaxed VPN3 crystal, with properties calculated at the PBE level.

```
5
Lattice="-1.3102 -0.7301 3.5030 -2.8150 -2.0927 -1.4890 2.2091 -3.0997 0.1802" Properties=species:S:1:pos:R:3 pbc="T T T"
P -0.9581 -2.9613 1.0971
V 0.0000 0.0000 0.0000
N -1.4075 -1.0463 -0.7445
N 1.1045 -1.5499 0.0901
N -0.6551 -0.3650 1.7515
```

Output
Symmetry ... Pm-3m
E_form (uncorrected) ... 1.0812 eV per atom
Total magnetization ... 0.0001 μB per atom
Total energy ... -34.1 eV per cell